This record from the Alexandria database describes an optimized crystal structure of PmSm4Te2. The functional is GGA-PBE.

Cell lengths 9.605, 9.605, 9.605 Å; angles 33.47, 33.47, 33.47 degrees
Sites, in units of the cell vectors:
Pm1 0.000 0.000 0.000
Sm1 0.232 0.232 0.232
Sm2 0.367 0.367 0.367
Sm3 0.633 0.633 0.633
Sm4 0.768 0.768 0.768
Te1 0.115 0.115 0.115
Te2 0.885 0.885 0.885

Values from the calculation:
- symmetry = R-3m, No. 166
- E_form (uncorrected) (eV per atom) = -0.55
- size of the total moment (μB/f.u.) = 0.00
- energy (eV/cell) = -33.8


This record from the Alexandria database describes an optimized crystal structure of Pm2SmTe. The functional is GGA-PBE.

Cell lengths 5.536, 5.536, 5.536 Å; angles 60.00, 60.00, 60.00 degrees
Sites, in units of the cell vectors:
Pm1 0.250 0.250 0.250
Pm2 0.750 0.750 0.750
Sm1 0.000 0.000 0.000
Te1 0.500 0.500 0.500

Values from the calculation:
- symmetry = Fm-3m, No. 225
- E_form (uncorrected) (eV per atom) = -0.27
- size of the total moment (μB/f.u.) = 0.97
- energy (eV/cell) = -18.4


This record from the Alexandria database describes an optimized crystal structure of PmSm5Te6. The functional is GGA-PBE.

Cell lengths 7.721, 7.721, 7.692 Å; angles 99.64, 99.64, 120.22 degrees
Sites, in units of the cell vectors:
Pm1 0.000 0.000 0.000
Sm1 0.165 0.835 0.500
Sm2 0.333 0.667 0.000
Sm3 0.500 0.500 0.500
Sm4 0.667 0.333 0.000
Sm5 0.835 0.165 0.500
Te1 0.084 0.419 0.251
Te2 0.252 0.252 0.750
Te3 0.419 0.084 0.251
Te4 0.581 0.916 0.749
Te5 0.748 0.748 0.250
Te6 0.916 0.581 0.749

Values from the calculation:
- symmetry = C2/m, No. 12
- E_form (uncorrected) (eV per atom) = -1.39
- size of the total moment (μB/f.u.) = 0.00
- energy (eV/cell) = -63.9


This record from the Alexandria database describes an optimized crystal structure of Pm2Sm2Te3. The functional is GGA-PBE.

Cell lengths 8.494, 8.494, 7.384 Å; angles 114.63, 114.63, 28.98 degrees
Sites, in units of the cell vectors:
Pm1 0.110 0.110 0.459
Pm2 0.890 0.890 0.541
Sm1 0.373 0.373 0.044
Sm2 0.627 0.627 0.956
Te1 0.000 0.000 0.000
Te2 0.253 0.253 0.268
Te3 0.747 0.747 0.732

Values from the calculation:
- symmetry = C2/m, No. 12
- E_form (uncorrected) (eV per atom) = -1.08
- size of the total moment (μB/f.u.) = 0.00
- energy (eV/cell) = -35.9


This record from the Alexandria database describes an optimized crystal structure of PmSm4Te6. The functional is GGA-PBE.

Cell lengths 7.597, 7.597, 22.656 Å; angles 90.00, 90.00, 146.77 degrees
Sites, in units of the cell vectors:
Pm1 0.155 0.845 0.750
Pm2 0.845 0.155 0.250
Sm1 0.087 0.913 0.126
Sm2 0.087 0.913 0.374
Sm3 0.356 0.644 0.036
Sm4 0.356 0.644 0.464
Sm5 0.644 0.356 0.536
Sm6 0.644 0.356 0.964
Sm7 0.913 0.087 0.626
Sm8 0.913 0.087 0.874
Te1 0.000 0.000 0.000
Te2 0.000 0.000 0.500
Te3 0.186 0.814 0.250
Te4 0.268 0.732 0.594
Te5 0.268 0.732 0.906
Te6 0.444 0.556 0.166
Te7 0.444 0.556 0.334
Te8 0.556 0.444 0.666
Te9 0.556 0.444 0.834
Te10 0.732 0.268 0.094
Te11 0.732 0.268 0.406
Te12 0.814 0.186 0.750

Values from the calculation:
- symmetry = Cmcm, No. 63
- E_form (uncorrected) (eV per atom) = -1.42
- size of the total moment (μB/f.u.) = 0.00
- energy (eV/cell) = -116.2


This record from the Alexandria database describes an optimized crystal structure of PmSm3Te. The functional is GGA-PBE.

Cell lengths 11.090, 3.945, 14.836 Å; angles 90.00, 90.00, 90.00 degrees
Sites, in units of the cell vectors:
Pm1 0.167 0.250 0.000
Pm2 0.333 0.750 0.500
Pm3 0.667 0.250 0.500
Pm4 0.833 0.750 0.000
Sm1 0.063 0.250 0.415
Sm2 0.069 0.750 0.202
Sm3 0.188 0.750 0.791
Sm4 0.312 0.250 0.291
Sm5 0.431 0.250 0.702
Sm6 0.437 0.750 0.915
Sm7 0.563 0.250 0.085
Sm8 0.569 0.750 0.298
Sm9 0.688 0.750 0.709
Sm10 0.812 0.250 0.209
Sm11 0.931 0.250 0.798
Sm12 0.937 0.750 0.585
Te1 0.159 0.250 0.622
Te2 0.341 0.750 0.122
Te3 0.659 0.250 0.878
Te4 0.841 0.750 0.378

Values from the calculation:
- symmetry = Pnma, No. 62
- E_form (uncorrected) (eV per atom) = -0.47
- size of the total moment (μB/f.u.) = 0.00
- energy (eV/cell) = -97.6


This record from the Alexandria database describes an optimized crystal structure of PmSmTe3. The functional is GGA-PBE.

Cell lengths 9.489, 9.489, 9.602 Å; angles 117.27, 117.27, 28.37 degrees
Sites, in units of the cell vectors:
Pm1 0.151 0.151 0.256
Pm2 0.849 0.849 0.744
Sm1 0.370 0.370 0.215
Sm2 0.630 0.630 0.785
Te1 0.043 0.043 0.861
Te2 0.264 0.264 0.848
Te3 0.354 0.354 0.526
Te4 0.646 0.646 0.474
Te5 0.736 0.736 0.152
Te6 0.957 0.957 0.139

Values from the calculation:
- symmetry = C2/m, No. 12
- E_form (uncorrected) (eV per atom) = -1.37
- size of the total moment (μB/f.u.) = 0.00
- energy (eV/cell) = -51.4


This record from the Alexandria database describes an optimized crystal structure of Pm4Sm3Te8. The functional is GGA-PBE.

Cell lengths 8.877, 8.877, 8.875 Å; angles 119.99, 119.99, 90.01 degrees
Sites, in units of the cell vectors:
Pm1 0.000 0.000 0.000
Pm2 0.000 0.500 0.000
Pm3 0.500 0.000 0.000
Pm4 0.500 0.500 0.500
Sm1 0.000 0.500 0.500
Sm2 0.500 0.000 0.500
Sm3 0.500 0.500 0.000
Te1 0.244 0.244 0.501
Te2 0.244 0.244 0.987
Te3 0.244 0.756 0.500
Te4 0.251 0.749 0.000
Te5 0.749 0.251 0.000
Te6 0.756 0.244 0.500
Te7 0.756 0.756 0.013
Te8 0.756 0.756 0.499

Values from the calculation:
- symmetry = C2/m, No. 12
- E_form (uncorrected) (eV per atom) = -1.44
- size of the total moment (μB/f.u.) = 0.00
- energy (eV/cell) = -80.0


This record from the Alexandria database describes an optimized crystal structure of Pm2Sm2Te5. The functional is GGA-PBE.

Cell lengths 9.023, 9.023, 8.338 Å; angles 90.00, 90.00, 54.79 degrees
Sites, in units of the cell vectors:
Pm1 0.196 0.196 0.000
Pm2 0.304 0.304 0.500
Pm3 0.696 0.696 0.500
Pm4 0.804 0.804 0.000
Sm1 0.146 0.854 0.651
Sm2 0.354 0.646 0.151
Sm3 0.646 0.354 0.849
Sm4 0.854 0.146 0.349
Te1 0.000 0.000 0.000
Te2 0.019 0.701 0.345
Te3 0.201 0.519 0.845
Te4 0.299 0.981 0.345
Te5 0.481 0.799 0.845
Te6 0.500 0.500 0.500
Te7 0.519 0.201 0.155
Te8 0.701 0.019 0.655
Te9 0.799 0.481 0.155
Te10 0.981 0.299 0.655

Values from the calculation:
- symmetry = Cmce, No. 64
- E_form (uncorrected) (eV per atom) = -1.37
- size of the total moment (μB/f.u.) = 0.00
- energy (eV/cell) = -93.9


This record from the Alexandria database describes an optimized crystal structure of Pm2SmTe. The functional is GGA-PBE.

Cell lengths 4.897, 4.897, 4.857 Å; angles 90.00, 90.00, 90.00 degrees
Sites, in units of the cell vectors:
Pm1 0.000 0.500 0.000
Pm2 0.500 0.000 0.000
Sm1 0.000 0.000 0.500
Te1 0.500 0.500 0.500

Values from the calculation:
- symmetry = P4/mmm, No. 123
- E_form (uncorrected) (eV per atom) = -0.51
- size of the total moment (μB/f.u.) = 0.00
- energy (eV/cell) = -19.4


This record from the Alexandria database describes an optimized crystal structure of PmSm2Te3. The functional is GGA-PBE.

Cell lengths 7.689, 7.689, 7.689 Å; angles 146.13, 131.81, 60.20 degrees
Sites, in units of the cell vectors:
Pm1 0.000 0.000 0.000
Sm1 0.335 0.335 0.000
Sm2 0.665 0.665 0.000
Te1 0.168 0.668 0.500
Te2 0.500 0.000 0.500
Te3 0.832 0.332 0.500

Values from the calculation:
- symmetry = Immm, No. 71
- E_form (uncorrected) (eV per atom) = -1.39
- size of the total moment (μB/f.u.) = 0.00
- energy (eV/cell) = -32.0


This record from the Alexandria database describes an optimized crystal structure of Pm2Sm3Te5. The functional is GGA-PBE.

Cell lengths 8.273, 8.273, 11.386 Å; angles 124.31, 124.31, 29.80 degrees
Sites, in units of the cell vectors:
Pm1 0.154 0.154 0.247
Pm2 0.846 0.846 0.753
Sm1 0.000 0.000 0.500
Sm2 0.379 0.379 0.128
Sm3 0.621 0.621 0.872
Te1 0.215 0.215 0.790
Te2 0.388 0.388 0.578
Te3 0.500 0.500 0.000
Te4 0.612 0.612 0.422
Te5 0.785 0.785 0.210

Values from the calculation:
- symmetry = C2/m, No. 12
- E_form (uncorrected) (eV per atom) = -1.32
- size of the total moment (μB/f.u.) = 0.00
- energy (eV/cell) = -52.6


Which value of size of the total moment does entry 8 give? 0.00 μB/f.u.